Tm2Lu2Ga5Ni2 | PBE | relaxed

Lattice parameters (Å, degrees): 6.9565 3.5354 8.7588 90.00 93.16 90.00
Sites, in units of the cell vectors:
Tm1 0.1841 0.0000 0.3607
Tm2 0.8159 0.0000 0.6393
Lu1 0.2358 0.0000 0.9329
Lu2 0.7642 0.0000 0.0671
Ga1 0.1701 0.5000 0.6515
Ga2 0.4415 0.5000 0.1775
Ga3 0.5000 0.5000 0.5000
Ga4 0.5585 0.5000 0.8225
Ga5 0.8299 0.5000 0.3485
Ni1 0.0693 0.5000 0.1342
Ni2 0.9307 0.5000 0.8658

Its volume is 19.6 Å³ per atom. The size of the total moment is 0.0001 μB per atom. The calculation puts the total energy at -4.58 eV per atom.